Density functional theory data (SCAN) for a PBEsol-optimized structure of TlCoSe2.

Lattice parameters (Å, degrees): 4.7626 4.7626 4.3669 106.76 106.76 108.37
Closest atoms and distances in Å follow each position.
Element x y z (fractional)
Tl (0.0000, 0.0000, 0.0000)  4 Se 2.73, 2 Co 2.79
Co (0.5000, 0.5000, 0.0000)  4 Se 2.73, 2 Tl 2.79
Se (0.0000, 0.5000, 0.5000)  2 Tl 2.73, 2 Co 2.73, 2 Se 2.79
Se (0.5000, 0.0000, 0.5000)  2 Tl 2.73, 2 Co 2.73, 2 Se 2.79

## Properties
Fermi-level density of states   1.6 states/eV per cell
Mass density   8.55 g/cm³
Formation energy (no corrections)   1.0 eV per formula unit